Density functional theory data (GGA-PBE) for a geometry-optimized Pm3Pr2NdAs6 structure.

Cell and atoms, written as POSCAR:
```
Pm3Pr2NdAs6
1.0
4.270 0.000 0.000
0.000 8.527 0.305
-2.135 -2.456 8.968
Pm Pr Nd As
3 2 1 6
Cartesian
2.135 4.264 0.152
2.135 -0.217 6.028
0.000 6.289 3.244
2.135 4.049 6.186
0.000 2.022 3.087
2.135 0.000 0.000
0.000 6.203 6.252
2.135 4.180 3.152
2.135 -0.132 3.021
2.135 -0.313 9.026
0.000 6.384 0.247
0.000 1.892 6.121
```

Properties
symmetry	C2/m, No. 12
E	-74.654	eV/f.u.
calculated formation energy	-1.515	eV/atom
density of states at the Fermi level	0.144	states/eV per atom